First-principles (PBE) data for NiSbPt2 after structural relaxation, as listed in Alexandria.

The uncorrected formation energy comes out at -0.0697 eV per atom. The space group is No. 122. The total magnetization comes out at 0.00 μB per formula unit.

Cell lengths 3.8686, 3.8686, 9.5796 Å; angles 78.35, 78.35, 90.00 degrees
Last column: nearest neighbours and their distance in Å.
Fractional coordinates of all 8 atoms:
Sb1 0.0000 0.0000 0.0000  4 Pt 2.69, 4 Ni 2.74
Sb2 0.7500 0.2500 0.5000  4 Pt 2.69, 4 Ni 2.74
Pt1 0.6123 0.1250 0.2500  2 Ni 2.65, 4 Pt 2.67-2.81, 2 Sb 2.69
Pt2 0.1377 0.6250 0.2500  2 Ni 2.65, 4 Pt 2.67-2.81, 2 Sb 2.69
Pt3 0.3750 0.3877 0.7500  2 Ni 2.65, 4 Pt 2.67-2.81, 2 Sb 2.69
Pt4 0.8750 0.8623 0.7500  2 Ni 2.65, 4 Pt 2.67-2.81, 2 Sb 2.69
Ni1 0.5000 0.5000 0.0000  4 Pt 2.65, 4 Sb 2.74
Ni2 0.2500 0.7500 0.5000  4 Pt 2.65, 4 Sb 2.74

First-principles (PBE) data for NiSbPt14 after structural relaxation, as listed in Alexandria.

The uncorrected formation energy comes out at -0.0539 eV per atom. The space group is No. 38. The total magnetization comes out at 0.46 μB per formula unit.

Cell lengths 5.5480, 5.5480, 9.6108 Å; angles 90.00, 90.00, 120.39 degrees
Last column: nearest neighbours and their distance in Å.
Fractional coordinates of all 16 atoms:
Ni1 0.1243 0.8757 0.5000  8 Pt 2.72-2.77, 2 Sb 2.76
Sb1 0.6243 0.3757 0.5000  8 Pt 2.72-2.77, 2 Ni 2.76
Pt1 0.1256 0.8744 0.0000  10 Pt 2.76-2.82
Pt2 0.6256 0.3744 0.0000  10 Pt 2.76-2.82
Pt3 0.1244 0.3757 0.5000  6 Pt 2.76-2.78, 2 Sb 2.77, 2 Ni 2.77
Pt4 0.1256 0.3743 0.0000  10 Pt 2.76-2.77
Pt5 0.6243 0.8756 0.5000  6 Pt 2.76-2.78, 2 Sb 2.77, 2 Ni 2.77
Pt6 0.6257 0.8744 0.0000  10 Pt 2.76-2.77
Pt7 0.3738 0.1238 0.7440  1 Ni 2.72, 1 Sb 2.72, 8 Pt 2.74-2.82
Pt8 0.3738 0.1238 0.2560  1 Ni 2.72, 1 Sb 2.72, 8 Pt 2.74-2.82
Pt9 0.8762 0.6262 0.7440  1 Ni 2.72, 1 Sb 2.72, 8 Pt 2.74-2.82
Pt10 0.8762 0.6262 0.2560  1 Ni 2.72, 1 Sb 2.72, 8 Pt 2.74-2.82
Pt11 0.3725 0.6275 0.7509  10 Pt 2.75-2.80
Pt12 0.3725 0.6275 0.2491  10 Pt 2.75-2.80
Pt13 0.8775 0.1225 0.7508  10 Pt 2.75-2.80
Pt14 0.8775 0.1225 0.2492  10 Pt 2.75-2.80

First-principles (PBE) data for Ni2SbPt after structural relaxation, as listed in Alexandria.

The uncorrected formation energy comes out at 0.1601 eV per atom. The space group is No. 166. The total magnetization comes out at 0.00 μB per formula unit.

Cell lengths 8.0388, 8.0388, 8.0388 Å; angles 21.54, 21.54, 21.54 degrees
Last column: nearest neighbours and their distance in Å.
Fractional coordinates of all 4 atoms:
Ni1 0.0021 0.0021 0.0021  3 Sb 2.58, 3 Pt 2.66
Ni2 0.4979 0.4979 0.4979  3 Sb 2.58, 3 Pt 2.66
Pt1 0.2500 0.2500 0.2500  6 Ni 2.66
Sb1 0.7500 0.7500 0.7500  6 Ni 2.58

First-principles (PBE) data for Ni2SbPt after structural relaxation, as listed in Alexandria.

The uncorrected formation energy comes out at 0.0883 eV per atom. The space group is No. 122. The total magnetization comes out at 0.00 μB per formula unit.

Cell lengths 3.8321, 3.8321, 9.2415 Å; angles 78.03, 78.03, 90.00 degrees
Last column: nearest neighbours and their distance in Å.
Fractional coordinates of all 8 atoms:
Sb1 0.5000 0.5000 0.0000  4 Ni 2.61, 4 Pt 2.71
Sb2 0.2500 0.7500 0.5000  4 Ni 2.61, 4 Pt 2.71
Pt1 0.0000 0.0000 0.0000  4 Ni 2.58, 4 Sb 2.71
Pt2 0.7500 0.2500 0.5000  4 Ni 2.58, 4 Sb 2.71
Ni1 0.6349 0.1250 0.2500  2 Pt 2.58, 2 Sb 2.61, 4 Ni 2.66-2.76
Ni2 0.1151 0.6250 0.2500  2 Pt 2.58, 2 Sb 2.61, 4 Ni 2.66-2.76
Ni3 0.3750 0.3651 0.7500  2 Pt 2.58, 2 Sb 2.61, 4 Ni 2.66-2.76
Ni4 0.8750 0.8849 0.7500  2 Pt 2.58, 2 Sb 2.61, 4 Ni 2.66-2.76

Which formula does entry 4 have? Ni2SbPt